No. 1
NiINF2 | SCAN | PBEsol geometry

Cell: 4.562 4.562 4.009 Å, 90.00 90.00 90.00°
Element x y z (fractional)
Ni 0.000 0.000 0.000
I 0.500 0.500 0.500
N 0.500 0.500 0.000
F 0.000 0.500 0.500
F 0.500 0.000 0.500

Results
* excess energy over the best structure of this formula in the dataset: 967.4 meV/atom
* formation energy (no corrections): 0.65 eV per atom
* VASP energy: -66.034 eV/cell
* space group: No. 123

=====

No. 2
PdINF2 | SCAN | PBEsol geometry

Cell: 4.204 4.204 3.958 Å, 90.00 90.00 90.00°
Element x y z (fractional)
Pd 0.000 0.000 0.000
I 0.500 0.500 0.500
N 0.000 0.000 0.500
F 0.000 0.500 0.000
F 0.500 0.000 0.000

Results
* formation energy (no corrections): 0.11 eV per atom
* VASP energy: -85.318 eV/cell
* space group: No. 123

=====

No. 3
PtIN2F | SCAN | PBEsol geometry

Cell: 3.962 3.962 4.260 Å, 90.00 90.00 90.00°
Element x y z (fractional)
Pt 0.000 0.000 0.000
I 0.500 0.500 0.500
N 0.000 0.500 0.000
N 0.500 0.000 0.000
F 0.000 0.000 0.500

Results
* formation energy (no corrections): 1.05 eV per atom
* VASP energy: -123.790 eV/cell
* space group: No. 123

=====

No. 4
RbI2NF | SCAN | PBEsol geometry

Cell: 6.858 6.858 6.007 Å, 90.00 90.00 90.00°
Element x y z (fractional)
Rb 0.000 0.000 0.000
I 0.000 0.500 0.000
I 0.500 0.000 0.000
N 0.000 0.000 0.500
F 0.500 0.500 0.500

Results
* formation energy (no corrections): 0.70 eV per atom
* VASP energy: -103.547 eV/cell
* space group: No. 123

=====

No. 5
RhIN2F | SCAN | PBEsol geometry

Cell: 4.099 4.099 4.224 Å, 90.00 90.00 90.00°
Element x y z (fractional)
Rh 0.000 0.000 0.000
I 0.500 0.500 0.500
N 0.000 0.500 0.500
N 0.500 0.000 0.500
F 0.500 0.500 0.000

Results
* formation energy (no corrections): 1.69 eV per atom
* VASP energy: -84.183 eV/cell
* space group: No. 123

=====

No. 6
ScI2NF | SCAN | PBEsol geometry

Cell: 5.441 5.441 3.616 Å, 90.00 90.00 90.00°
Element x y z (fractional)
Sc 0.000 0.000 0.000
I 0.000 0.500 0.500
I 0.500 0.000 0.500
N 0.500 0.500 0.000
F 0.500 0.500 0.500

Results
* formation energy (no corrections): 0.48 eV per atom
* VASP energy: -98.175 eV/cell
* space group: No. 123

=====

No. 7
SnINF2 | SCAN | PBEsol geometry

Cell: 4.766 4.766 4.066 Å, 90.00 90.00 90.00°
Element x y z (fractional)
Sn 0.000 0.000 0.000
I 0.500 0.500 0.500
N 0.500 0.500 0.000
F 0.000 0.500 0.500
F 0.500 0.000 0.500

Results
* formation energy (no corrections): 0.19 eV per atom
* VASP energy: -88.103 eV/cell
* space group: No. 123

=====

No. 8
SrI2NF | SCAN | PBEsol geometry

Cell: 5.742 5.742 3.923 Å, 90.00 90.00 90.00°
Element x y z (fractional)
Sr 0.000 0.000 0.000
I 0.000 0.500 0.500
I 0.500 0.000 0.500
N 0.500 0.500 0.000
F 0.500 0.500 0.500

Results
* formation energy (no corrections): -0.10 eV per atom
* VASP energy: -109.099 eV/cell
* space group: No. 123

=====

No. 9
TaIN2F | SCAN | PBEsol geometry

Cell: 3.934 3.934 5.688 Å, 90.00 90.00 90.00°
Element x y z (fractional)
Ta 0.000 0.000 0.000
I 0.000 0.000 0.500
N 0.000 0.500 0.000
N 0.500 0.000 0.000
F 0.500 0.500 0.500

Results
* formation energy (no corrections): 0.11 eV per atom
* VASP energy: -124.913 eV/cell
* space group: No. 123

=====

No. 10
TeIN2F | SCAN | PBEsol geometry

Cell: 3.863 3.863 6.389 Å, 90.00 90.00 90.00°
Element x y z (fractional)
Te 0.000 0.000 0.000
I 0.000 0.000 0.500
N 0.000 0.500 0.500
N 0.500 0.000 0.500
F 0.500 0.500 0.000

Results
* excess energy over the best structure of this formula in the dataset: 0.0 meV/atom
* formation energy (no corrections): 1.59 eV per atom
* VASP energy: -88.149 eV/cell
* space group: No. 123

=====

No. 11
TeIN2F | SCAN | PBEsol geometry

Cell: 4.684 4.684 4.252 Å, 90.00 90.00 90.00°
Element x y z (fractional)
Te 0.000 0.000 0.000
I 0.500 0.500 0.000
N 0.000 0.500 0.500
N 0.500 0.000 0.500
F 0.500 0.500 0.500

Results
* excess energy over the best structure of this formula in the dataset: 296.3 meV/atom
* formation energy (no corrections): 1.89 eV per atom
* VASP energy: -86.668 eV/cell
* space group: No. 123

=====

No. 12
TlINF2 | SCAN | PBEsol geometry

Cell: 4.272 4.272 4.698 Å, 90.00 90.00 90.00°
Element x y z (fractional)
Tl 0.000 0.000 0.000
I 0.500 0.500 0.500
N 0.000 0.000 0.500
F 0.000 0.500 0.000
F 0.500 0.000 0.000

Results
* formation energy (no corrections): -0.01 eV per atom
* VASP energy: -125.529 eV/cell
* space group: No. 123

=====

No. 13
WIN2F | SCAN | PBEsol geometry

Cell: 4.030 4.030 4.145 Å, 90.00 90.00 90.00°
Element x y z (fractional)
W 0.000 0.000 0.000
I 0.500 0.500 0.500
N 0.000 0.500 0.000
N 0.500 0.000 0.000
F 0.000 0.000 0.500

Results
* formation energy (no corrections): 0.22 eV per atom
* VASP energy: -127.454 eV/cell
* space group: No. 123

=====

No. 14
YI2NF | SCAN | PBEsol geometry

Cell: 5.535 5.535 3.678 Å, 90.00 90.00 90.00°
Element x y z (fractional)
Y 0.000 0.000 0.000
I 0.000 0.500 0.500
I 0.500 0.000 0.500
N 0.500 0.500 0.000
F 0.500 0.500 0.500

Results
* formation energy (no corrections): 0.20 eV per atom
* VASP energy: -113.153 eV/cell
* space group: No. 123

=====

No. 15
ZnIN2F | SCAN | PBEsol geometry

Cell: 3.958 3.958 6.303 Å, 90.00 90.00 90.00°
Element x y z (fractional)
Zn 0.000 0.000 0.000
I 0.500 0.500 0.000
N 0.000 0.500 0.500
N 0.500 0.000 0.500
F 0.500 0.500 0.500

Results
* formation energy (no corrections): 1.79 eV per atom
* VASP energy: -63.428 eV/cell
* space group: No. 123

=====

No. 16
NbIO2F | SCAN | PBEsol geometry

Cell: 4.043 4.043 4.377 Å, 90.00 90.00 90.00°
Element x y z (fractional)
Nb 0.000 0.000 0.000
I 0.500 0.500 0.500
O 0.000 0.500 0.000
O 0.500 0.000 0.000
F 0.000 0.000 0.500

Results
* formation energy (no corrections): -1.54 eV per atom
* VASP energy: -93.552 eV/cell
* space group: No. 123

=====

No. 17
NbIO2F | SCAN | PBEsol geometry

Cell: 3.986 3.986 5.567 Å, 90.00 90.00 90.00°
Element x y z (fractional)
Nb 0.000 0.000 0.000
I 0.500 0.500 0.500
O 0.000 0.500 0.500
O 0.500 0.000 0.500
F 0.500 0.500 0.000

Results
* formation energy (no corrections): 0.15 eV per atom
* VASP energy: -85.119 eV/cell
* space group: No. 123

=====

No. 18
NbTe2IF | SCAN | PBEsol geometry

Cell: 5.272 5.272 5.416 Å, 90.00 90.00 90.00°
Element x y z (fractional)
Nb 0.000 0.000 0.000
Te 0.000 0.500 0.000
Te 0.500 0.000 0.000
I 0.000 0.000 0.500
F 0.500 0.500 0.500

Results
* excess energy over the best structure of this formula in the dataset: 0.0 meV/atom
* formation energy (no corrections): -0.07 eV per atom
* VASP energy: -148.278 eV/cell
* space group: No. 123

=====

No. 19
NbTe2IF | SCAN | PBEsol geometry

Cell: 4.620 4.620 5.742 Å, 90.00 90.00 90.00°
Element x y z (fractional)
Nb 0.000 0.000 0.000
Te 0.000 0.500 0.500
Te 0.500 0.000 0.500
I 0.500 0.500 0.000
F 0.500 0.500 0.500

Results
* excess energy over the best structure of this formula in the dataset: 402.9 meV/atom
* formation energy (no corrections): 0.33 eV per atom
* VASP energy: -146.263 eV/cell
* space group: No. 123

=====

No. 20
TiNbIF2 | SCAN | PBEsol geometry

Cell: 4.098 4.098 5.254 Å, 90.00 90.00 90.00°
Element x y z (fractional)
Ti 0.000 0.000 0.000
Nb 0.000 0.000 0.500
I 0.500 0.500 0.000
F 0.000 0.500 0.500
F 0.500 0.000 0.500

Results
* formation energy (no corrections): -1.29 eV per atom
* VASP energy: -99.451 eV/cell
* space group: No. 123

=====

No. 21
NiIOF2 | SCAN | PBEsol geometry

Cell: 3.609 3.609 5.328 Å, 90.00 90.00 90.00°
Element x y z (fractional)
Ni 0.000 0.000 0.000
I 0.500 0.500 0.500
O 0.000 0.000 0.500
F 0.000 0.500 0.000
F 0.500 0.000 0.000

Results
* formation energy (no corrections): -0.91 eV per atom
* VASP energy: -70.787 eV/cell
* space group: No. 123

=====

No. 22
NiTe2IF | SCAN | PBEsol geometry

Cell: 5.842 5.842 4.572 Å, 90.00 90.00 90.00°
Element x y z (fractional)
Ni 0.000 0.000 0.000
Te 0.000 0.500 0.500
Te 0.500 0.000 0.500
I 0.000 0.000 0.500
F 0.500 0.500 0.000

Results
* formation energy (no corrections): 0.88 eV per atom
* VASP energy: -126.572 eV/cell
* space group: No. 123

=====

No. 23
IOF3 | SCAN | PBEsol geometry

Cell: 5.118 5.493 10.970 Å, 90.00 90.00 90.00°
Element x y z (fractional)
I 0.143 0.074 0.090
I 0.357 0.926 0.590
I 0.643 0.426 0.910
I 0.857 0.574 0.410
O 0.202 0.661 0.524
O 0.298 0.339 0.024
O 0.702 0.839 0.476
O 0.798 0.161 0.976
F 0.030 0.291 0.222
F 0.060 0.997 0.687
F 0.201 0.128 0.464
F 0.299 0.872 0.964
F 0.440 0.003 0.187
F 0.470 0.709 0.722
F 0.530 0.209 0.778
F 0.560 0.503 0.313
F 0.701 0.372 0.536
F 0.799 0.628 0.036
F 0.940 0.497 0.813
F 0.970 0.791 0.278

Results
* excess energy over the best structure of this formula in the dataset: 0.0 meV/atom
* formation energy (no corrections): -1.27 eV per atom
* VASP energy: -239.766 eV/cell
* space group: No. 19

=====

No. 24
IOF3 | SCAN | PBEsol geometry

Cell: 4.000 4.000 4.000 Å, 90.00 90.00 90.00°
Element x y z (fractional)
I 0.000 0.000 0.000
O 0.500 0.500 0.500
F 0.000 0.500 0.500
F 0.500 0.000 0.500
F 0.500 0.500 0.000

Results
* excess energy over the best structure of this formula in the dataset: 1707.5 meV/atom
* formation energy (no corrections): 0.44 eV per atom
* VASP energy: -51.404 eV/cell
* space group: No. 221

=====

No. 25
I2O2F | SCAN | PBEsol geometry

Cell: 4.770 4.770 4.379 Å, 90.00 90.00 90.00°
Element x y z (fractional)
I 0.000 0.500 0.000
I 0.500 0.000 0.000
O 0.000 0.000 0.500
O 0.500 0.500 0.500
F 0.000 0.000 0.000

Results
* formation energy (no corrections): 0.97 eV per atom
* VASP energy: -84.623 eV/cell
* space group: No. 123

=====

No. 26
I2OF | SCAN | PBEsol geometry

Cell: 8.109 8.109 8.109 Å, 142.54 142.54 54.02°
Element x y z (fractional)
I 0.375 0.243 0.368
I 0.757 0.125 0.132
I 0.875 0.007 0.632
I 0.993 0.625 0.868
O 0.000 0.000 0.000
O 0.750 0.250 0.500
F 0.250 0.750 0.500
F 0.500 0.500 0.000

Results
* formation energy (no corrections): 0.15 eV per atom
* VASP energy: -165.288 eV/cell
* space group: No. 122

=====

No. 27
OsIO2F | SCAN | PBEsol geometry

Cell: 4.002 4.002 5.225 Å, 90.00 90.00 90.00°
Element x y z (fractional)
Os 0.000 0.000 0.000
I 0.500 0.500 0.500
O 0.000 0.500 0.500
O 0.500 0.000 0.500
F 0.500 0.500 0.000

Results
* formation energy (no corrections): 1.06 eV per atom
* VASP energy: -119.316 eV/cell
* space group: No. 123

=====

No. 28
PbIO2F | SCAN | PBEsol geometry

Cell: 4.325 4.325 4.412 Å, 90.00 90.00 90.00°
Element x y z (fractional)
Pb 0.000 0.000 0.000
I 0.500 0.500 0.500
O 0.000 0.500 0.000
O 0.500 0.000 0.000
F 0.000 0.000 0.500

Results
* formation energy (no corrections): -0.41 eV per atom
* VASP energy: -130.564 eV/cell
* space group: No. 123